No. 1
# LaPrGaAu, optimized geometry, DFT PBE
data_LaPrGaAu
_chemical_formula_sum 'La4 Pr4 Ga4 Au4'
_space_group_name_H-M_alt 'F -4 3 m'
_space_group_IT_number 216
_space_group_name_Hall 'F -4 2 3'
_cell_length_a 7.550
_cell_length_b 7.550
_cell_length_c 7.550
_cell_angle_alpha 90.00
_cell_angle_beta 90.00
_cell_angle_gamma 90.00
loop_
_atom_site_label
_atom_site_fract_x
_atom_site_fract_y
_atom_site_fract_z
_atom_site_occupancy
La1 0.000 0.000 0.000 1
Pr1 0.000 0.000 0.500 1
Ga1 0.250 0.250 0.750 1
Au1 0.250 0.250 0.250 1
# Volume = 430.29 Å³ per cell
# Formation energy from the elements = -0.624 eV per atom

---

No. 2
# LaMn, optimized geometry, DFT PBE
data_LaMn
_chemical_formula_sum 'La8 Mn8'
_space_group_name_H-M_alt 'I 4/m'
_space_group_IT_number 87
_space_group_name_Hall '-I 4'
_cell_length_a 10.802
_cell_length_b 10.802
_cell_length_c 3.760
_cell_angle_alpha 90.00
_cell_angle_beta 90.00
_cell_angle_gamma 90.00
loop_
_atom_site_label
_atom_site_fract_x
_atom_site_fract_y
_atom_site_fract_z
_atom_site_occupancy
La1 0.004 0.253 0.000 1
Mn1 0.206 0.237 0.500 1
# Volume = 438.67 Å³ per cell
# Formation energy from the elements = 0.410 eV per atom

---

No. 3
# Ca2La2Ru, optimized geometry, DFT PBE
data_Ca2La2Ru
_chemical_formula_sum 'Ca4 La4 Ru2'
_space_group_name_H-M_alt 'P 4/m b m'
_space_group_IT_number 127
_space_group_name_Hall '-P 4 2ab'
_cell_length_a 7.332
_cell_length_b 7.332
_cell_length_c 6.392
_cell_angle_alpha 90.00
_cell_angle_beta 90.00
_cell_angle_gamma 90.00
loop_
_atom_site_label
_atom_site_fract_x
_atom_site_fract_y
_atom_site_fract_z
_atom_site_occupancy
Ca1 0.178 0.322 0.000 1
La1 0.173 0.673 0.500 1
Ru1 0.000 0.000 0.500 1
# Volume = 343.56 Å³ per cell
# ΔE to the lowest computed polymorph = 206 meV/atom
# Formation energy from the elements = 0.068 eV per atom

---

No. 4
# ScTlGa2Mo, optimized geometry, DFT PBE
data_ScTlGa2Mo
_chemical_formula_sum 'Sc1 Tl1 Ga2 Mo1'
_space_group_name_H-M_alt 'P 4/m m m'
_space_group_IT_number 123
_space_group_name_Hall '-P 4 2'
_cell_length_a 5.112
_cell_length_b 5.112
_cell_length_c 5.426
_cell_angle_alpha 90.00
_cell_angle_beta 90.00
_cell_angle_gamma 90.00
loop_
_atom_site_label
_atom_site_fract_x
_atom_site_fract_y
_atom_site_fract_z
_atom_site_occupancy
Sc1 0.000 0.000 0.000 1
Tl1 0.000 0.000 0.500 1
Ga1 0.000 0.500 0.000 1
Mo1 0.500 0.500 0.500 1
# Volume = 141.79 Å³ per cell
# Formation energy from the elements = 1.215 eV per atom

---

No. 5
# Sr2Al4Ge3Pt, optimized geometry, DFT PBE
data_Sr2Al4Ge3Pt
_chemical_formula_sum 'Sr2 Al4 Ge3 Pt1'
_space_group_name_H-M_alt 'P -4 m 2'
_space_group_IT_number 115
_cell_length_a 4.535
_cell_length_b 4.535
_cell_length_c 10.427
_cell_angle_alpha 90.00
_cell_angle_beta 90.00
_cell_angle_gamma 90.00
loop_
_space_group_symop_operation_xyz
'x,y,z'
'y,-x,-z'
'-x,-y,z'
'-y,x,-z'
'-x,y,z'
'-y,-x,-z'
'x,-y,z'
'y,x,-z'
loop_
_atom_site_label
_atom_site_fract_x
_atom_site_fract_y
_atom_site_fract_z
_atom_site_occupancy
Sr1 0.000 0.500 0.239 1
Al1 0.000 0.000 0.500 1
Al2 0.000 0.500 0.885 1
Al3 0.500 0.500 0.500 1
Ge1 0.000 0.000 0.000 1
Ge2 0.000 0.500 0.632 1
Pt1 0.500 0.500 0.000 1
# Volume = 214.49 Å³ per cell
# Formation energy from the elements = -0.475 eV per atom

---

No. 6
# TlPd5, optimized geometry, DFT PBE
data_TlPd5
_chemical_formula_sum 'Tl2 Pd10'
_space_group_name_H-M_alt 'C 1 2/m 1'
_space_group_IT_number 12
_cell_length_a 4.948
_cell_length_b 8.548
_cell_length_c 4.925
_cell_angle_alpha 90.00
_cell_angle_beta 108.92
_cell_angle_gamma 90.00
loop_
_space_group_symop_operation_xyz
'x,y,z'
'-x,-y,-z'
'-x,y,-z'
'x,-y,z'
'x+1/2,y+1/2,z'
'-x+1/2,-y+1/2,-z'
'-x+1/2,y+1/2,-z'
'x+1/2,-y+1/2,z'
loop_
_atom_site_label
_atom_site_fract_x
_atom_site_fract_y
_atom_site_fract_z
_atom_site_occupancy
Tl1 0.000 0.000 0.000 1
Pd1 0.000 0.170 0.500 1
Pd2 0.000 0.334 0.000 1
Pd3 0.000 0.500 0.500 1
# Volume = 197.04 Å³ per cell
# Formation energy from the elements = -0.136 eV per atom

---

No. 7
# Ru2PbO, optimized geometry, DFT PBE
data_Ru2PbO
_chemical_formula_sum 'Ru8 Pb4 O4'
_space_group_name_H-M_alt 'F m -3 m'
_space_group_IT_number 225
_space_group_name_Hall '-F 4 2 3'
_cell_length_a 6.278
_cell_length_b 6.278
_cell_length_c 6.278
_cell_angle_alpha 90.00
_cell_angle_beta 90.00
_cell_angle_gamma 90.00
loop_
_atom_site_label
_atom_site_fract_x
_atom_site_fract_y
_atom_site_fract_z
_atom_site_occupancy
Ru1 0.250 0.250 0.250 1
Pb1 0.000 0.000 0.000 1
O1 0.000 0.000 0.500 1
# Formation energy (no corrections) = 0.90 eV/atom
# Volume = 247.38 Å³ per cell
# ΔE to the lowest computed polymorph = 681 meV/atom

---

No. 8
# Cs2YAg2Se4, optimized geometry, DFT PBE
data_Cs2YAg2Se4
_chemical_formula_sum 'Cs4 Y2 Ag4 Se8'
_space_group_name_H-M_alt 'C 1 2/m 1'
_space_group_IT_number 12
_cell_length_a 15.872
_cell_length_b 4.241
_cell_length_c 8.609
_cell_angle_alpha 90.00
_cell_angle_beta 107.75
_cell_angle_gamma 90.00
loop_
_space_group_symop_operation_xyz
'x,y,z'
'-x,-y,-z'
'-x,y,-z'
'x,-y,z'
'x+1/2,y+1/2,z'
'-x+1/2,-y+1/2,-z'
'-x+1/2,y+1/2,-z'
'x+1/2,-y+1/2,z'
loop_
_atom_site_label
_atom_site_fract_x
_atom_site_fract_y
_atom_site_fract_z
_atom_site_occupancy
Cs1 0.132 0.000 0.063 1
Y1 0.000 0.000 0.500 1
Ag1 0.180 0.500 0.481 1
Se1 0.014 0.500 0.278 1
Se2 0.192 0.000 0.677 1
# Formation energy (no corrections) = -1.02 eV/atom
# Volume = 551.95 Å³ per cell

---

No. 9
# CaEuAs2, optimized geometry, DFT PBE
data_CaEuAs2
_chemical_formula_sum 'Ca1 Eu1 As2'
_space_group_name_H-M_alt 'P 4/m m m'
_space_group_IT_number 123
_space_group_name_Hall '-P 4 2'
_cell_length_a 3.882
_cell_length_b 3.882
_cell_length_c 6.478
_cell_angle_alpha 90.00
_cell_angle_beta 90.00
_cell_angle_gamma 90.00
loop_
_atom_site_label
_atom_site_fract_x
_atom_site_fract_y
_atom_site_fract_z
_atom_site_occupancy
Ca1 0.000 0.000 0.000 1
Eu1 0.000 0.000 0.500 1
As1 0.500 0.500 0.244 1
# Volume = 97.65 Å³ per cell
# Formation energy from the elements = -0.942 eV per atom

---

No. 10
# Cu2TcNi, optimized geometry, DFT PBE
data_Cu2TcNi
_chemical_formula_sum 'Cu4 Tc2 Ni2'
_space_group_name_H-M_alt 'C m m m'
_space_group_IT_number 65
_space_group_name_Hall '-C 2 2'
_cell_length_a 5.055
_cell_length_b 7.948
_cell_length_c 2.486
_cell_angle_alpha 90.00
_cell_angle_beta 90.00
_cell_angle_gamma 90.00
loop_
_atom_site_label
_atom_site_fract_x
_atom_site_fract_y
_atom_site_fract_z
_atom_site_occupancy
Cu1 0.250 0.250 0.000 1
Tc1 0.000 0.000 0.500 1
Ni1 0.000 0.500 0.500 1
# Volume = 99.89 Å³ per cell
# ΔE to the lowest computed polymorph = 179 meV/atom
# Formation energy from the elements = 0.230 eV per atom

---

No. 11
# Sc2Cd, optimized geometry, DFT PBE
data_Sc2Cd
_chemical_formula_sum 'Sc2 Cd1'
_space_group_name_H-M_alt 'P 4/m m m'
_space_group_IT_number 123
_space_group_name_Hall '-P 4 2'
_cell_length_a 4.982
_cell_length_b 4.982
_cell_length_c 3.215
_cell_angle_alpha 90.00
_cell_angle_beta 90.00
_cell_angle_gamma 90.00
loop_
_atom_site_label
_atom_site_fract_x
_atom_site_fract_y
_atom_site_fract_z
_atom_site_occupancy
Sc1 0.000 0.500 0.000 1
Cd1 0.000 0.000 0.500 1
# Volume = 79.79 Å³ per cell
# Formation energy from the elements = 0.183 eV per atom

---

No. 12
# Rb2SbPbI6, optimized geometry, DFT PBE
data_Rb2SbPbI6
_chemical_formula_sum 'Rb4 Sb2 Pb2 I12'
_space_group_name_H-M_alt 'I 4/m m m'
_space_group_IT_number 139
_space_group_name_Hall '-I 4 2'
_cell_length_a 8.866
_cell_length_b 8.866
_cell_length_c 12.573
_cell_angle_alpha 90.00
_cell_angle_beta 90.00
_cell_angle_gamma 90.00
loop_
_atom_site_label
_atom_site_fract_x
_atom_site_fract_y
_atom_site_fract_z
_atom_site_occupancy
Rb1 0.000 0.500 0.250 1
Sb1 0.000 0.000 0.000 1
Pb1 0.000 0.000 0.500 1
I1 0.000 0.000 0.246 1
I2 0.246 0.246 0.000 1
# Formation energy (no corrections) = -0.78 eV/atom
# Volume = 988.33 Å³ per cell

---

No. 13
# Th4CuSe3, optimized geometry, DFT PBE
data_Th4CuSe3
_chemical_formula_sum 'Th8 Cu2 Se6'
_space_group_name_H-M_alt 'I 4/m m m'
_space_group_IT_number 139
_space_group_name_Hall '-I 4 2'
_cell_length_a 5.936
_cell_length_b 5.936
_cell_length_c 11.928
_cell_angle_alpha 90.00
_cell_angle_beta 90.00
_cell_angle_gamma 90.00
loop_
_atom_site_label
_atom_site_fract_x
_atom_site_fract_y
_atom_site_fract_z
_atom_site_occupancy
Th1 0.000 0.000 0.247 1
Th2 0.000 0.500 0.000 1
Cu1 0.000 0.000 0.000 1
Se1 0.000 0.000 0.500 1
Se2 0.000 0.500 0.250 1
# Formation energy (no corrections) = -1.20 eV/atom
# Volume = 420.33 Å³ per cell

---

No. 14
# AcTb3Nd3, optimized geometry, DFT PBE
data_AcTb3Nd3
_chemical_formula_sum 'Ac2 Tb6 Nd6'
_space_group_name_H-M_alt 'P 63/m'
_space_group_IT_number 176
_space_group_name_Hall '-P 6c'
_cell_length_a 9.8399
_cell_length_b 9.8399
_cell_length_c 5.9109
_cell_angle_alpha 90.00
_cell_angle_beta 90.00
_cell_angle_gamma 120.00
loop_
_atom_site_label
_atom_site_fract_x
_atom_site_fract_y
_atom_site_fract_z
_atom_site_occupancy
Ac1 0.3333 0.6667 0.2500 1
Tb1 0.0429 0.8132 0.2500 1
Nd1 0.0940 0.6241 0.7500 1
# Volume = 495.63 Å³ per cell
# ΔE to the lowest computed polymorph = 0 meV/atom
# Formation energy from the elements = 0.039 eV per atom

---

No. 15
# SiPRu2, optimized geometry, DFT PBE
data_SiPRu2
_chemical_formula_sum 'Si2 P2 Ru4'
_space_group_name_H-M_alt 'I m m m'
_space_group_IT_number 71
_space_group_name_Hall '-I 2 2'
_cell_length_a 2.905
_cell_length_b 5.002
_cell_length_c 7.657
_cell_angle_alpha 90.00
_cell_angle_beta 90.00
_cell_angle_gamma 90.00
loop_
_atom_site_label
_atom_site_fract_x
_atom_site_fract_y
_atom_site_fract_z
_atom_site_occupancy
Si1 0.000 0.000 0.000 1
P1 0.000 0.000 0.500 1
Ru1 0.000 0.500 0.237 1
# Formation energy (no corrections) = -0.05 eV/atom
# Volume = 111.28 Å³ per cell
# ΔE to the lowest computed polymorph = 421 meV/atom

---

No. 16
# AcMgGaAg, optimized geometry, DFT PBE
data_AcMgGaAg
_chemical_formula_sum 'Ac4 Mg4 Ga4 Ag4'
_space_group_name_H-M_alt 'F -4 3 m'
_space_group_IT_number 216
_space_group_name_Hall 'F -4 2 3'
_cell_length_a 7.396
_cell_length_b 7.396
_cell_length_c 7.396
_cell_angle_alpha 90.00
_cell_angle_beta 90.00
_cell_angle_gamma 90.00
loop_
_atom_site_label
_atom_site_fract_x
_atom_site_fract_y
_atom_site_fract_z
_atom_site_occupancy
Ac1 0.000 0.000 0.000 1
Mg1 0.000 0.000 0.500 1
Ga1 0.250 0.250 0.250 1
Ag1 0.250 0.250 0.750 1
# Volume = 404.60 Å³ per cell
# ΔE to the lowest computed polymorph = 5 meV/atom
# Formation energy from the elements = -0.313 eV per atom

---

No. 17
# Mn4InTc, optimized geometry, DFT PBE
data_Mn4InTc
_chemical_formula_sum 'Mn16 In4 Tc4'
_space_group_name_H-M_alt 'F -4 3 m'
_space_group_IT_number 216
_space_group_name_Hall 'F -4 2 3'
_cell_length_a 6.798
_cell_length_b 6.798
_cell_length_c 6.798
_cell_angle_alpha 90.00
_cell_angle_beta 90.00
_cell_angle_gamma 90.00
loop_
_atom_site_label
_atom_site_fract_x
_atom_site_fract_y
_atom_site_fract_z
_atom_site_occupancy
Mn1 0.125 0.125 0.125 1
In1 0.000 0.000 0.500 1
Tc1 0.250 0.250 0.750 1
# Volume = 314.15 Å³ per cell
# Formation energy from the elements = 0.170 eV per atom

---

No. 18
# Pm3PrSm6Tm2, optimized geometry, DFT PBE
data_Pm3PrSm6Tm2
_chemical_formula_sum 'Pm6 Pr2 Sm12 Tm4'
_space_group_name_H-M_alt 'C 1 2/m 1'
_space_group_IT_number 12
_cell_length_a 6.266
_cell_length_b 10.850
_cell_length_c 12.003
_cell_angle_alpha 90.00
_cell_angle_beta 100.03
_cell_angle_gamma 90.00
loop_
_space_group_symop_operation_xyz
'x,y,z'
'-x,-y,-z'
'-x,y,-z'
'x,-y,z'
'x+1/2,y+1/2,z'
'-x+1/2,-y+1/2,-z'
'-x+1/2,y+1/2,-z'
'x+1/2,-y+1/2,z'
loop_
_atom_site_label
_atom_site_fract_x
_atom_site_fract_y
_atom_site_fract_z
_atom_site_occupancy
Pm1 0.000 0.000 0.000 1
Pm2 0.000 0.333 0.000 1
Pr1 0.000 0.500 0.500 1
Sm1 0.248 0.000 0.748 1
Sm2 0.249 0.167 0.252 1
Tm1 0.000 0.167 0.500 1
# Volume = 803.49 Å³ per cell
# Formation energy from the elements = 0.017 eV per atom

---

No. 19
# CsCSe, optimized geometry, DFT PBE
data_CsCSe
_chemical_formula_sum 'Cs4 C4 Se4'
_space_group_name_H-M_alt 'C 1 m 1'
_space_group_IT_number 8
_cell_length_a 9.727
_cell_length_b 5.670
_cell_length_c 9.326
_cell_angle_alpha 90.00
_cell_angle_beta 111.12
_cell_angle_gamma 90.00
loop_
_space_group_symop_operation_xyz
'x,y,z'
'x,-y,z'
'x+1/2,y+1/2,z'
'x+1/2,-y+1/2,z'
loop_
_atom_site_label
_atom_site_fract_x
_atom_site_fract_y
_atom_site_fract_z
_atom_site_occupancy
Cs1 0.000 0.000 0.000 1
Cs2 0.170 0.000 0.521 1
C1 0.023 0.500 0.574 1
C2 0.477 0.000 0.432 1
Se1 0.090 0.500 0.785 1
Se2 0.411 0.000 0.221 1
# Formation energy (no corrections) = -0.24 eV/atom
# Volume = 479.77 Å³ per cell
# ΔE to the lowest computed polymorph = 15 meV/atom

---

No. 20
# Mn4Co3, optimized geometry, DFT PBE
data_Mn4Co3
_chemical_formula_sum 'Mn24 Co18'
_space_group_name_H-M_alt 'R -3'
_space_group_IT_number 148
_space_group_name_Hall '-R 3'
_cell_length_a 10.7226
_cell_length_b 10.7226
_cell_length_c 4.9702
_cell_angle_alpha 90.00
_cell_angle_beta 90.00
_cell_angle_gamma 120.00
loop_
_atom_site_label
_atom_site_fract_x
_atom_site_fract_y
_atom_site_fract_z
_atom_site_occupancy
Mn1 0.0000 0.0000 0.0000 1
Mn2 0.0000 0.0000 0.5000 1
Mn3 0.0484 0.2404 0.1682 1
Co1 0.0479 0.2373 0.6684 1
# Volume = 494.89 Å³ per cell
# ΔE to the lowest computed polymorph = 0 meV/atom
# Formation energy from the elements = -0.011 eV per atom